[1]
Sr2MgCoH6 | the Alexandria database | GGA-PBE | relaxed; calculated total energy = -3.542 eV per atom
1.0
-2.7039 2.7039 3.8170
2.7039 -2.7039 3.8170
2.7039 2.7039 -3.8170
Sr Mg Co H
2 1 1 6
Direct
0.2500 0.7500 0.5000 Sr
0.7500 0.2500 0.5000 Sr
0.0000 0.0000 0.0000 Mg
0.5000 0.5000 0.0000 Co
0.2743 0.2743 0.0000 H
0.2742 0.2742 0.5483 H
0.2742 0.7258 0.0000 H
0.7258 0.2742 0.0000 H
0.7257 0.7257 0.0000 H
0.7258 0.7258 0.4517 H

=====

[2]
SrMgCoH6 | the Alexandria database | GGA-PBE | relaxed; calculated total energy = -3.701 eV per atom
1.0
4.6904 0.0000 0.0000
-2.3452 4.0620 0.0000
0.0000 0.0000 4.7366
Sr Mg Co H
1 1 1 6
Direct
0.0000 0.0000 0.0000 Sr
0.6667 0.3333 0.5000 Mg
0.3333 0.6667 0.5000 Co
0.0560 0.4657 0.2737 H
0.0560 0.5903 0.7263 H
0.4097 0.4657 0.7263 H
0.4097 0.9440 0.2737 H
0.5343 0.5903 0.2737 H
0.5343 0.9440 0.7263 H

=====

[3]
Mg2TlCoH | the Alexandria database | GGA-PBE | relaxed; calculated total energy = -3.124 eV per atom
1.0
4.5893 0.0000 0.0000
0.0000 4.5893 0.0000
0.0000 0.0000 3.4989
Mg Tl Co H
2 1 1 1
Direct
0.0000 0.5000 0.0000 Mg
0.5000 0.0000 0.0000 Mg
0.0000 0.0000 0.5000 Tl
0.5000 0.5000 0.5000 Co
0.5000 0.5000 0.0000 H